1.
# PBE-GGA SrZr2CuTe, relaxed
data_SrZr2CuTe
_symmetry_space_group_name_H-M 'P 4/m m m'
_symmetry_Int_Tables_number 123
_symmetry_space_group_name_Hall '-P 4 2'
_cell_length_a 5.4547
_cell_length_b 5.4547
_cell_length_c 4.9190
_cell_angle_alpha 90.00
_cell_angle_beta 90.00
_cell_angle_gamma 90.00
loop_
_atom_site_label
_atom_site_type_symbol
_atom_site_fract_x
_atom_site_fract_y
_atom_site_fract_z
_atom_site_occupancy
Sr1 Sr 0.0000 0.0000 0.0000 1
Zr1 Zr 0.0000 0.5000 0.5000 1
Cu1 Cu 0.5000 0.5000 0.0000 1
Te1 Te 0.5000 0.5000 0.5000 1
# E above lowest polymorph	255	meV per atom
# calculated volume	29.27	A^3/atom
# raw formation energy	214	kJ/mol of formula units
# E_tot	-23.80	eV per formula unit

=====

2.
# PBE-GGA Li2ScW, relaxed
data_Li2ScW
_symmetry_space_group_name_H-M 'I m m m'
_symmetry_Int_Tables_number 71
_symmetry_space_group_name_Hall '-I 2 2'
_cell_length_a 2.7987
_cell_length_b 4.8360
_cell_length_c 10.6735
_cell_angle_alpha 90.00
_cell_angle_beta 90.00
_cell_angle_gamma 90.00
loop_
_atom_site_label
_atom_site_type_symbol
_atom_site_fract_x
_atom_site_fract_y
_atom_site_fract_z
_atom_site_occupancy
Li1 Li 0.0000 0.0000 0.2349 1
Sc1 Sc 0.0000 0.5000 0.0000 1
W1 W 0.0000 0.5000 0.5000 1
# E above lowest polymorph	157	meV per atom
# calculated formation energy	0.431	eV/atom
# calculated volume	18.06	A^3/atom
# E_tot	-21.39	eV per formula unit

=====

Q: Which of these has the highest E above lowest polymorph?
A: SrZr2CuTe

=====

Please write out number 1 again, unchanged.
# PBE-GGA SrZr2CuTe, relaxed
data_SrZr2CuTe
_symmetry_space_group_name_H-M 'P 4/m m m'
_symmetry_Int_Tables_number 123
_symmetry_space_group_name_Hall '-P 4 2'
_cell_length_a 5.4547
_cell_length_b 5.4547
_cell_length_c 4.9190
_cell_angle_alpha 90.00
_cell_angle_beta 90.00
_cell_angle_gamma 90.00
loop_
_atom_site_label
_atom_site_type_symbol
_atom_site_fract_x
_atom_site_fract_y
_atom_site_fract_z
_atom_site_occupancy
Sr1 Sr 0.0000 0.0000 0.0000 1
Zr1 Zr 0.0000 0.5000 0.5000 1
Cu1 Cu 0.5000 0.5000 0.0000 1
Te1 Te 0.5000 0.5000 0.5000 1
# E above lowest polymorph	255	meV per atom
# calculated volume	29.27	A^3/atom
# raw formation energy	214	kJ/mol of formula units
# E_tot	-23.80	eV per formula unit

=====

Copy entry 1 word for word.
# PBE-GGA SrZr2CuTe, relaxed
data_SrZr2CuTe
_symmetry_space_group_name_H-M 'P 4/m m m'
_symmetry_Int_Tables_number 123
_symmetry_space_group_name_Hall '-P 4 2'
_cell_length_a 5.4547
_cell_length_b 5.4547
_cell_length_c 4.9190
_cell_angle_alpha 90.00
_cell_angle_beta 90.00
_cell_angle_gamma 90.00
loop_
_atom_site_label
_atom_site_type_symbol
_atom_site_fract_x
_atom_site_fract_y
_atom_site_fract_z
_atom_site_occupancy
Sr1 Sr 0.0000 0.0000 0.0000 1
Zr1 Zr 0.0000 0.5000 0.5000 1
Cu1 Cu 0.5000 0.5000 0.0000 1
Te1 Te 0.5000 0.5000 0.5000 1
# E above lowest polymorph	255	meV per atom
# calculated volume	29.27	A^3/atom
# raw formation energy	214	kJ/mol of formula units
# E_tot	-23.80	eV per formula unit